1.
Here is a relaxed Ti2Ni7Sb2Pd crystal from Alexandria via LeMat-Bulk. Energies are from PBE-GGA.

Calculated values
- raw formation energy (eV/atom) = -0.066
- SG = No. 12

Unit cell a=3.4790 b=3.4790 c=14.7889 alpha=96.65 beta=96.65 gamma=89.99
Last column: nearest neighbours and their distance in Å.
Positions (direct):
1 Ti 0.1233 0.1233 0.2512  4 Ni 2.44
2 Ti 0.8767 0.8767 0.7488  4 Ni 2.44
3 Ni 0.0000 0.0000 0.0000  4 Pd 2.46, 8 Ni 2.62
4 Ni 0.0656 0.5656 0.1343  2 Ti 2.44, 6 Ni 2.46-2.62, 2 Pd 2.62
5 Ni 0.2247 0.2247 0.4514  5 Sb 2.53-2.70, 1 Ni 2.83
6 Ni 0.4344 0.9344 0.8657  2 Ti 2.44, 6 Ni 2.46-2.62, 2 Pd 2.62
7 Ni 0.5656 0.0656 0.1343  2 Ti 2.44, 6 Ni 2.46-2.62, 2 Pd 2.62
8 Ni 0.7753 0.7753 0.5486  5 Sb 2.53-2.70, 1 Ni 2.83
9 Ni 0.9344 0.4344 0.8657  2 Ti 2.44, 6 Ni 2.46-2.62, 2 Pd 2.62
10 Sb 0.3137 0.3137 0.6247  5 Ni 2.53-2.70
11 Sb 0.6863 0.6863 0.3753  5 Ni 2.53-2.70
12 Pd 0.5000 0.5000 0.0000  12 Ni 2.46-2.62

---

2.
Here is a relaxed Ba2Li3CdSb4 crystal from Alexandria via LeMat-Bulk. Energies are from PBE-GGA.

Calculated values
- raw formation energy (eV/atom) = -0.768
- SG = No. 115

Unit cell a=4.8163 b=4.8163 c=11.8631 alpha=90.00 beta=90.00 gamma=90.00
Last column: nearest neighbours and their distance in Å.
Positions (direct):
1 Ba 0.0000 0.5000 0.2423  8 Sb 3.67-3.75, 6 Li 3.67-3.89, 2 Cd 3.89
2 Ba 0.5000 0.0000 0.7577  8 Sb 3.67-3.75, 6 Li 3.67-3.89, 2 Cd 3.89
3 Li 0.0000 0.5000 0.8736  5 Sb 2.74-2.84
4 Li 0.5000 0.0000 0.1264  5 Sb 2.74-2.84
5 Li 0.5000 0.5000 0.5000  4 Sb 2.94
6 Cd 0.0000 0.0000 0.5000  4 Sb 2.94
7 Sb 0.0000 0.0000 0.0000  4 Li 2.84
8 Sb 0.0000 0.5000 0.6425  3 Li 2.74-2.94, 2 Cd 2.94
9 Sb 0.5000 0.0000 0.3575  3 Li 2.74-2.94, 2 Cd 2.94
10 Sb 0.5000 0.5000 0.0000  4 Li 2.84

---

3.
Here is a relaxed Na9Cu2O7 crystal from Alexandria via LeMat-Bulk. Energies are from PBE-GGA.

Calculated values
- raw formation energy (eV/atom) = -1.090
- polymorph energy (0 for the lowest one) (meV/atom) = 0
- SG = No. 29

Unit cell a=9.5237 b=9.8591 c=10.3561 alpha=90.00 beta=90.00 gamma=90.00
Last column: nearest neighbours and their distance in Å.
Positions (direct):
1 Na 0.0149 0.2407 0.0000  4 O 2.35-2.56
2 Na 0.0238 0.6578 0.7463  4 O 2.33-2.54
3 Na 0.0700 0.5455 0.0103  3 O 2.28-2.51
4 Na 0.0749 0.1679 0.7246  4 O 2.33-2.51
5 Na 0.0920 0.0152 0.4546  5 O 2.30-2.52
6 Na 0.1509 0.0491 0.1615  4 O 2.31-2.56
7 Na 0.1582 0.6066 0.3427  3 O 2.30-2.40
8 Na 0.2142 0.2745 0.4107  4 O 2.42-2.53
9 Na 0.2221 0.7857 0.0876  4 O 2.31-2.37
10 Na 0.2779 0.7857 0.5876  4 O 2.31-2.37
11 Na 0.2858 0.2745 0.9107  4 O 2.42-2.53
12 Na 0.3418 0.6066 0.8427  3 O 2.30-2.40
13 Na 0.3491 0.0491 0.6615  4 O 2.31-2.56
14 Na 0.4080 0.0152 0.9546  5 O 2.30-2.52
15 Na 0.4251 0.1679 0.2246  4 O 2.33-2.51
16 Na 0.4300 0.5455 0.5103  3 O 2.28-2.51
17 Na 0.4762 0.6578 0.2463  4 O 2.33-2.54
18 Na 0.4851 0.2407 0.5000  4 O 2.35-2.56
19 Na 0.5149 0.7593 0.0000  4 O 2.35-2.56
20 Na 0.5238 0.3422 0.7463  4 O 2.33-2.54
21 Na 0.5700 0.4545 0.0103  3 O 2.28-2.51
22 Na 0.5749 0.8321 0.7246  4 O 2.33-2.51
23 Na 0.5920 0.9848 0.4546  5 O 2.30-2.52
24 Na 0.6509 0.9509 0.1615  4 O 2.31-2.56
25 Na 0.6582 0.3934 0.3427  3 O 2.30-2.40
26 Na 0.7142 0.7255 0.4107  4 O 2.42-2.53
27 Na 0.7221 0.2143 0.0876  4 O 2.31-2.37
28 Na 0.7779 0.2143 0.5876  4 O 2.31-2.37
29 Na 0.7858 0.7255 0.9107  4 O 2.42-2.53
30 Na 0.8418 0.3934 0.8427  3 O 2.30-2.40
31 Na 0.8491 0.9509 0.6615  4 O 2.31-2.56
32 Na 0.9080 0.9848 0.9546  5 O 2.30-2.52
33 Na 0.9251 0.8321 0.2246  4 O 2.33-2.51
34 Na 0.9300 0.4545 0.5103  3 O 2.28-2.51
35 Na 0.9762 0.3422 0.2463  4 O 2.33-2.54
36 Na 0.9851 0.7593 0.5000  4 O 2.35-2.56
37 Cu 0.1554 0.8946 0.8351  4 O 1.92-1.99
38 Cu 0.1929 0.4324 0.6636  3 O 1.84-1.93
39 Cu 0.3071 0.4324 0.1636  3 O 1.84-1.93
40 Cu 0.3446 0.8946 0.3351  4 O 1.92-1.99
41 Cu 0.6554 0.1054 0.8351  4 O 1.92-1.99
42 Cu 0.6929 0.5676 0.6636  3 O 1.84-1.93
43 Cu 0.8071 0.5676 0.1636  3 O 1.84-1.93
44 Cu 0.8446 0.1054 0.3351  4 O 1.92-1.99
45 O 0.0340 0.7767 0.9435  1 Cu 1.99
46 O 0.0909 0.4228 0.8243  1 Cu 1.93
47 O 0.0986 0.9250 0.6598  1 Cu 1.92
48 O 0.1491 0.5835 0.5641  1 Cu 1.86
49 O 0.1547 0.8363 0.3031  1 Cu 1.93
50 O 0.1590 0.0625 0.9285  1 Cu 1.92
51 O 0.1960 0.2795 0.1679  1 Cu 1.84
52 O 0.3040 0.2795 0.6679  1 Cu 1.84
53 O 0.3410 0.0625 0.4285  1 Cu 1.92
54 O 0.3453 0.8363 0.8031  1 Cu 1.93
55 O 0.3509 0.5835 0.0641  1 Cu 1.86
56 O 0.4014 0.9250 0.1598  1 Cu 1.92
57 O 0.4091 0.4228 0.3243  1 Cu 1.93
58 O 0.4660 0.7767 0.4435  1 Cu 1.99
59 O 0.5340 0.2233 0.9435  1 Cu 1.99
60 O 0.5909 0.5772 0.8243  1 Cu 1.93
61 O 0.5986 0.0750 0.6598  1 Cu 1.92
62 O 0.6491 0.4165 0.5641  1 Cu 1.86
63 O 0.6547 0.1637 0.3031  1 Cu 1.93
64 O 0.6590 0.9375 0.9285  1 Cu 1.92
65 O 0.6960 0.7205 0.1679  1 Cu 1.84
66 O 0.8040 0.7205 0.6679  1 Cu 1.84
67 O 0.8410 0.9375 0.4285  1 Cu 1.92
68 O 0.8453 0.1637 0.8031  1 Cu 1.93
69 O 0.8509 0.4165 0.0641  1 Cu 1.86
70 O 0.9014 0.0750 0.1598  1 Cu 1.92
71 O 0.9091 0.5772 0.3243  1 Cu 1.93
72 O 0.9660 0.2233 0.4435  1 Cu 1.99

---

4.
Here is a relaxed Th2Te2MoI4 crystal from Alexandria via LeMat-Bulk. Energies are from PBE-GGA.

Calculated values
- raw formation energy (eV/atom) = -0.724
- SG = No. 156

Unit cell a=3.8379 b=3.8379 c=25.4331 alpha=90.00 beta=90.00 gamma=120.00
Last column: nearest neighbours and their distance in Å.
Positions (direct):
1 Th 0.0000 0.0000 0.0000  6 I 3.21-3.22
2 Th 0.3333 0.6667 0.3441  6 I 3.21-3.22
3 Te 0.0000 0.0000 0.6188  3 Mo 2.80
4 Te 0.0000 0.0000 0.7534  3 Mo 2.80
5 Mo 0.3333 0.6667 0.6861  6 Te 2.80
6 I 0.0000 0.0000 0.2523  3 Th 3.22
7 I 0.0000 0.0000 0.4356  3 Th 3.21
8 I 0.3333 0.6667 0.0917  3 Th 3.22
9 I 0.3333 0.6667 0.9086  3 Th 3.21

---

5.
Here is a relaxed La2HgP2 crystal from Alexandria via LeMat-Bulk. Energies are from PBE-GGA.

Calculated values
- polymorph energy (0 for the lowest one) (meV/atom) = 345
- SG = No. 139
- DFT formation energy (eV per atom) = -0.7192

Unit cell a=7.1242 b=7.1242 c=7.1242 alpha=134.28 beta=134.28 gamma=66.65
Last column: nearest neighbours and their distance in Å.
Positions (direct):
1 La 0.1930 0.1930 0.0000  4 P 2.85
2 La 0.8070 0.8070 0.0000  4 P 2.85
3 Hg 0.5000 0.5000 0.0000  2 La 3.66, 8 P 4.06
4 P 0.2500 0.7500 0.5000  4 La 2.85
5 P 0.7500 0.2500 0.5000  4 La 2.85

---

6.
Here is a relaxed Co2RhW crystal from Alexandria via LeMat-Bulk. Energies are from PBE-GGA.

Calculated values
- polymorph energy (0 for the lowest one) (meV/atom) = 43
- SG = No. 139
- DFT formation energy (eV per atom) = -0.0329

Unit cell a=4.4984 b=4.4984 c=4.4984 alpha=130.87 beta=130.87 gamma=72.02
Last column: nearest neighbours and their distance in Å.
Positions (direct):
1 Co 0.2500 0.7500 0.5000  4 W 2.61, 4 Rh 2.61, 4 Co 2.64
2 Co 0.7500 0.2500 0.5000  4 W 2.61, 4 Rh 2.61, 4 Co 2.64
3 Rh 0.0000 0.0000 0.0000  8 Co 2.61, 4 W 2.64
4 W 0.5000 0.5000 0.0000  8 Co 2.61, 4 Rh 2.64

---

Total energy readings, ordered: -5.874 -3.468 -4.133 -4.964 -4.914 -8.662 eV/atom